Below is a geometry-optimized Na2CaPb3C5O15 structure, with properties calculated at the GGA-PBEsol level.

Output
DOS(E_F) (states/eV/cell): 0.00
Size of the total moment (μB/cell): 0.0
DFT total energy (eV/atom): -7.188

Lattice parameters (Å, degrees): 10.549 10.549 6.582 90.74 90.74 120.26
Fractional positions:
Na 0.022 0.549 0.486
Na 0.023 0.977 0.500
Na 0.549 0.022 0.986
Na 0.977 0.023 0.000
Ca 0.453 0.977 0.475
Ca 0.977 0.453 0.975
Pb 0.184 0.338 0.314
Pb 0.338 0.184 0.814
Pb 0.350 0.658 0.798
Pb 0.658 0.350 0.298
Pb 0.668 0.818 0.298
Pb 0.818 0.668 0.798
C 0.092 0.297 0.761
C 0.171 0.832 0.804
C 0.295 0.703 0.251
C 0.297 0.092 0.261
C 0.500 0.502 0.455
C 0.502 0.500 0.955
C 0.703 0.295 0.751
C 0.704 0.910 0.754
C 0.832 0.171 0.304
C 0.910 0.704 0.254
O 0.041 0.267 0.941
O 0.099 0.902 0.813
O 0.101 0.690 0.811
O 0.108 0.416 0.677
O 0.126 0.212 0.661
O 0.205 0.583 0.151
O 0.212 0.126 0.161
O 0.267 0.041 0.441
O 0.268 0.726 0.433
O 0.313 0.904 0.789
O 0.360 0.430 0.951
O 0.414 0.802 0.167
O 0.416 0.108 0.177
O 0.429 0.572 0.461
O 0.430 0.360 0.451
O 0.572 0.429 0.961
O 0.574 0.642 0.943
O 0.583 0.205 0.651
O 0.586 0.892 0.657
O 0.642 0.574 0.443
O 0.690 0.101 0.311
O 0.726 0.268 0.933
O 0.730 0.955 0.938
O 0.793 0.881 0.656
O 0.802 0.414 0.667
O 0.881 0.793 0.156
O 0.892 0.586 0.157
O 0.902 0.099 0.313
O 0.904 0.313 0.289
O 0.955 0.730 0.438